# RbAgHg2Pd | Alexandria via LeMat-Bulk | PBE-GGA | optimized geometry
data_RbAgHg2Pd
_cell_length_a 5.357
_cell_length_b 5.357
_cell_length_c 5.369
_cell_angle_alpha 90.00
_cell_angle_beta 90.00
_cell_angle_gamma 90.00
_space_group_name_H-M_alt 'P 4/m m m'
_space_group_IT_number 123
_space_group_name_Hall '-P 4 2'
loop_
_atom_site_label
_atom_site_type_symbol
_atom_site_fract_x
_atom_site_fract_y
_atom_site_fract_z
_atom_site_occupancy
Rb1 Rb 0.000 0.000 0.000 1
Ag1 Ag 0.500 0.500 0.000 1
Hg1 Hg 0.000 0.500 0.500 1
Pd1 Pd 0.500 0.500 0.500 1
# calculated volume: 30.817 Å³ per atom
# energy relative to the elements: -0.117 eV per atom
# total energy: -10.20 eV per formula unit
# crystal system: tetragonal

# Rb2AgHg6Pd | Alexandria via LeMat-Bulk | PBE-GGA | optimized geometry
data_Rb2AgHg6Pd
_cell_length_a 10.968
_cell_length_b 11.006
_cell_length_c 7.723
_cell_angle_alpha 90.00
_cell_angle_beta 134.57
_cell_angle_gamma 90.00
_space_group_name_H-M_alt 'C 1 2/m 1'
_space_group_IT_number 12
_space_group_name_Hall '-C 2y'
loop_
_atom_site_label
_atom_site_type_symbol
_atom_site_fract_x
_atom_site_fract_y
_atom_site_fract_z
_atom_site_occupancy
Rb1 Rb 0.000 0.250 0.000 1
Ag1 Ag 0.000 0.000 0.500 1
Hg1 Hg 0.000 0.254 0.500 1
Hg2 Hg 0.246 0.500 0.993 1
Hg3 Hg 0.247 0.500 0.500 1
Pd1 Pd 0.000 0.500 0.500 1
# calculated volume: 33.206 Å³ per atom
# energy relative to the elements: -0.175 eV per atom
# total energy: -13.54 eV per formula unit
# crystal system: monoclinic

# RbAg2HgPd | Alexandria via LeMat-Bulk | PBE-GGA | optimized geometry
data_RbAg2HgPd
_cell_length_a 5.311
_cell_length_b 5.311
_cell_length_c 5.297
_cell_angle_alpha 90.00
_cell_angle_beta 90.00
_cell_angle_gamma 90.00
_space_group_name_H-M_alt 'P 4/m m m'
_space_group_IT_number 123
_space_group_name_Hall '-P 4 2'
loop_
_atom_site_label
_atom_site_type_symbol
_atom_site_fract_x
_atom_site_fract_y
_atom_site_fract_z
_atom_site_occupancy
Rb1 Rb 0.000 0.000 0.000 1
Ag1 Ag 0.000 0.500 0.500 1
Hg1 Hg 0.500 0.500 0.000 1
Pd1 Pd 0.500 0.500 0.500 1
# calculated volume: 29.886 Å³ per atom
# energy relative to the elements: 0.069 eV per atom
# total energy: -11.82 eV per formula unit
# crystal system: tetragonal

# ScAgHgPd | Alexandria via LeMat-Bulk | PBE-GGA | optimized geometry
data_ScAgHgPd
_cell_length_a 6.678
_cell_length_b 6.678
_cell_length_c 6.678
_cell_angle_alpha 90.00
_cell_angle_beta 90.00
_cell_angle_gamma 90.00
_space_group_name_H-M_alt 'F -4 3 m'
_space_group_IT_number 216
_space_group_name_Hall 'F -4 2 3'
loop_
_atom_site_label
_atom_site_type_symbol
_atom_site_fract_x
_atom_site_fract_y
_atom_site_fract_z
_atom_site_occupancy
Sc1 Sc 0.000 0.000 0.000 1
Ag1 Ag 0.250 0.250 0.250 1
Hg1 Hg 0.000 0.000 0.500 1
Pd1 Pd 0.250 0.250 0.750 1
# calculated volume: 18.611 Å³ per atom
# energy relative to the elements: -0.408 eV per atom
# total energy: -16.31 eV per formula unit
# crystal system: cubic

# Si2AgHgPd | Alexandria via LeMat-Bulk | PBE-GGA | optimized geometry
data_Si2AgHgPd
_cell_length_a 4.632
_cell_length_b 4.632
_cell_length_c 5.314
_cell_angle_alpha 90.00
_cell_angle_beta 90.00
_cell_angle_gamma 90.00
_space_group_name_H-M_alt 'P 4/m m m'
_space_group_IT_number 123
_space_group_name_Hall '-P 4 2'
loop_
_atom_site_label
_atom_site_type_symbol
_atom_site_fract_x
_atom_site_fract_y
_atom_site_fract_z
_atom_site_occupancy
Si1 Si 0.000 0.500 0.000 1
Ag1 Ag 0.000 0.000 0.500 1
Hg1 Hg 0.500 0.500 0.500 1
Pd1 Pd 0.500 0.500 0.000 1
# calculated volume: 22.799 Å³ per atom
# total energy: -16.73 eV per formula unit
# crystal system: tetragonal
# formation energy from raw total energies: 0.492 eV per atom

# SmAgHgPd | Alexandria via LeMat-Bulk | PBE-GGA | optimized geometry
data_SmAgHgPd
_cell_length_a 6.986
_cell_length_b 6.986
_cell_length_c 6.986
_cell_angle_alpha 90.00
_cell_angle_beta 90.00
_cell_angle_gamma 90.00
_space_group_name_H-M_alt 'F -4 3 m'
_space_group_IT_number 216
_space_group_name_Hall 'F -4 2 3'
loop_
_atom_site_label
_atom_site_type_symbol
_atom_site_fract_x
_atom_site_fract_y
_atom_site_fract_z
_atom_site_occupancy
Sm1 Sm 0.000 0.000 0.000 1
Ag1 Ag 0.250 0.250 0.750 1
Hg1 Hg 0.000 0.000 0.500 1
Pd1 Pd 0.250 0.250 0.250 1
# calculated volume: 21.312 Å³ per atom
# energy relative to the elements: -0.427 eV per atom
# total energy: -14.77 eV per formula unit
# crystal system: cubic

# Sm4Ag2HgPd | Alexandria via LeMat-Bulk | PBE-GGA | optimized geometry
data_Sm4Ag2HgPd
_cell_length_a 5.2351
_cell_length_b 5.2351
_cell_length_c 25.5598
_cell_angle_alpha 90.00
_cell_angle_beta 90.00
_cell_angle_gamma 120.00
_space_group_name_H-M_alt 'R -3 m'
_space_group_IT_number 166
_space_group_name_Hall '-R 3 2"'
loop_
_atom_site_label
_atom_site_type_symbol
_atom_site_fract_x
_atom_site_fract_y
_atom_site_fract_z
_atom_site_occupancy
Sm1 Sm 0.0000 0.0000 0.1199 1
Sm2 Sm 0.0000 0.0000 0.3707 1
Ag1 Ag 0.0000 0.0000 0.2454 1
Hg1 Hg 0.0000 0.0000 0.5000 1
Pd1 Pd 0.0000 0.0000 0.0000 1
# calculated volume: 25.277 Å³ per atom
# energy relative to the elements: -0.458 eV per atom
# total energy: -33.73 eV per formula unit
# crystal system: trigonal

# AgSnHgPd | Alexandria via LeMat-Bulk | PBE-GGA | optimized geometry
data_AgSnHgPd
_cell_length_a 6.791
_cell_length_b 6.791
_cell_length_c 6.791
_cell_angle_alpha 90.00
_cell_angle_beta 90.00
_cell_angle_gamma 90.00
_space_group_name_H-M_alt 'F -4 3 m'
_space_group_IT_number 216
_space_group_name_Hall 'F -4 2 3'
loop_
_atom_site_label
_atom_site_type_symbol
_atom_site_fract_x
_atom_site_fract_y
_atom_site_fract_z
_atom_site_occupancy
Ag1 Ag 0.000 0.000 0.000 1
Sn1 Sn 0.250 0.250 0.750 1
Hg1 Hg 0.250 0.250 0.250 1
Pd1 Pd 0.000 0.000 0.500 1
# calculated volume: 19.573 Å³ per atom
# energy relative to the elements: -0.076 eV per atom
# total energy: -12.65 eV per formula unit
# crystal system: cubic